Density functional theory data (PBE) for a relaxed structure of CdPdPb2.

Results
The value obtained for the density of states at the Fermi level is 2.213 states/eV/f.u. For the formation enthalpy at 0 K, the calculation gives -0.04 eV/atom.

Structure (extended XYZ):
```
4
Lattice="3.6197 0.0000 0.0000 1.8098 3.1347 0.0000 1.8098 1.0449 8.9695" Properties=species:S:1:pos:R:3 pbc="T T T"
Cd 3.6197 2.0898 4.4974
Pd 5.4295 3.1347 8.9657
Pb 1.8098 1.0449 7.0130
Pb 1.8098 1.0449 1.9478
```

Density functional theory data (PBE) for a relaxed structure of Zr3TePd.

Results
The value obtained for the density of states at the Fermi level is 7.898 states/eV/f.u. Its excess energy over the best structure of this formula in the dataset is 0.0000 eV per atom.

Structure (extended XYZ):
```
5
Lattice="-0.8461 -4.2348 2.7135 3.6964 1.3424 3.2476 -3.4108 2.5054 2.8464" Properties=species:S:1:pos:R:3 pbc="T T T"
Te -0.2802 -0.1935 4.4038
Zr 1.8482 0.6712 1.6238
Zr -1.7054 1.2527 1.4232
Zr -0.4231 -2.1174 1.3568
Pd 0.0000 0.0000 0.0000
```

Density functional theory data (PBE) for a relaxed structure of KY2Tc.

Results
The value obtained for the density of states at the Fermi level is 0.551 states/eV/f.u. For the formation enthalpy at 0 K, the calculation gives 0.61 eV/atom. Its excess energy over the best structure of this formula in the dataset is 0.4903 eV per atom.

Structure (extended XYZ):
```
4
Lattice="0.0000 3.7061 3.7061 3.7061 0.0000 3.7061 3.7061 3.7061 0.0000" Properties=species:S:1:pos:R:3 pbc="T T T"
Y 1.8530 1.8530 1.8530
Y 5.5591 5.5591 5.5591
K 0.0000 0.0000 0.0000
Tc 3.7061 3.7061 3.7061
```

Density functional theory data (PBE) for a relaxed structure of Pm2BeZnIr2.

Results
The value obtained for the density of states at the Fermi level is 2.833 states/eV/f.u. For the formation enthalpy at 0 K, the calculation gives -0.56 eV/atom.

Structure (extended XYZ):
```
12
Lattice="-4.7790 -3.4465 0.0090 2.3093 -3.1910 4.2737 -1.6817 7.3749 2.4632" Properties=species:S:1:pos:R:3 pbc="T T T"
Pm -2.1113 0.5448 1.5476
Pm -2.0401 0.1926 5.1982
Pm -0.6805 3.6013 3.0566
Pm -3.4710 -2.8639 3.6892
Be -0.6575 -4.1165 3.2098
Be -1.8122 -2.5210 1.0729
Zn 1.7320 -2.3932 3.2053
Zn 0.5773 -0.7977 1.0684
Ir -4.0209 -1.6071 0.9727
Ir -0.8277 -1.7324 3.1057
Ir -3.3238 2.4698 3.6401
Ir -0.1306 2.3445 5.7731
```

Density functional theory data (PBE) for a relaxed structure of RbU2CuO8.

Results
The uncorrected energy is -7.852 eV/atom.

Structure (extended XYZ):
```
12
Lattice="5.3631 0.5814 0.1917 0.6839 5.3484 0.1986 0.3044 0.2895 7.0865" Properties=species:S:1:pos:R:3 pbc="T T T"
Rb 0.1522 0.1448 3.5432
U 3.2366 3.1668 5.5803
U 3.1148 3.0525 1.8965
Cu 0.0000 0.0000 0.0000
O 1.5481 4.3070 1.5008
O 3.9588 3.8849 0.3743
O 4.3424 1.4658 1.4965
O 4.8032 1.9122 5.9760
O 2.3926 2.3344 7.1025
O 2.0089 4.7535 5.9803
O 4.0591 3.9786 3.9679
O 2.2922 2.2406 3.5089
```

Density functional theory data (PBE) for a relaxed structure of KMg2Se.

Results
The value obtained for the density of states at the Fermi level is 1.408 states/eV/f.u. The uncorrected energy is -2.402 eV/atom.

Structure (extended XYZ):
```
4
Lattice="3.9599 0.0000 0.0000 0.0000 6.1712 0.0249 0.0000 3.0642 5.3409" Properties=species:S:1:pos:R:3 pbc="T T T"
K 1.9799 6.9266 4.0243
Mg 0.0000 0.6875 0.3739
Mg 0.0000 3.9302 2.3089
Se 1.9799 2.3089 1.3414
```